# Li3Mg5

Crystalline Li3Mg5 at its relaxed geometry (PBE, Alexandria).

The magnetization is 0.00 μB per cell. The value obtained for the uncorrected energy is -14.08 eV per formula unit. The energy above the lowest structure with this stoichiometry is 0.0000 eV per atom.

The space group is Cmmm (No. 65) and the conventional cell measures 6.930, 9.878 and 4.895 Å, with angles of 90.00, 90.00 and 90.00 degrees. The inequivalent atoms are Li at (0.000, 0.000, 0.000), Li at (0.000, 0.259, 0.500), Mg at (0.000, 0.500, 0.000), Mg at (0.233, 0.000, 0.500) and Mg at (0.250, 0.250, 0.000).


# LiMg2

Crystalline LiMg2 at its relaxed geometry (PBE, Alexandria).

The magnetization is 0.00 μB per cell. The value obtained for the uncorrected energy is -5.22 eV per formula unit.

The space group is Cmcm (No. 63) and the conventional cell measures 9.580, 5.353 and 5.031 Å, with angles of 90.00, 90.00 and 90.00 degrees. The inequivalent atoms are Li at (0.000, 0.177, 0.250) and Mg at (0.162, 0.319, 0.750).


# Li13Mg2

Crystalline Li13Mg2 at its relaxed geometry (PBE, Alexandria).

The magnetization is 0.00 μB per cell. The value obtained for the uncorrected energy is -27.00 eV per formula unit. The energy above the lowest structure with this stoichiometry is 0.0000 eV per atom.

The space group is R-3m (No. 166, hexagonal axes) and the conventional cell measures 7.6601, 7.6601 and 18.8706 Å, with angles of 90.00, 90.00 and 120.00 degrees. The inequivalent atoms are Li at (0.0000, 0.0000, 0.0000), Li at (0.0733, 0.5367, 0.3848), Li at (0.0826, 0.5413, 0.2305) and Mg at (0.0000, 0.0000, 0.1530).